Crystalline DyTm2In3Te6 at its relaxed geometry. Source: the Alexandria database, functional GGA-PBE.

Size of the total moment ... 0.0 Bohr magnetons per cell
Total DFT energy (no corrections) ... -4.34 eV/atom
DOS(E_F) ... 0.08 states/eV per atom
ΔE_f (raw) ... -0.9519 eV per atom

a b c (Å): 7.597 7.597 8.502
angles (deg): 98.57 98.57 120.00
Fractional coordinates of all 12 atoms:
Dy 0.000 0.000 0.000
Tm 0.333 0.667 0.000
Tm 0.667 0.333 0.000
In 0.166 0.834 0.500
In 0.834 0.166 0.500
In 0.500 0.500 0.500
Te 0.928 0.591 0.783
Te 0.736 0.736 0.216
Te 0.072 0.409 0.217
Te 0.591 0.928 0.783
Te 0.264 0.264 0.784
Te 0.409 0.072 0.217